DFT (GGA-PBE) results for an optimized crystal structure of NaTePt2.

Cell: 5.2553 5.2553 17.4007 Å, 90.00 90.00 90.00°
Closest atoms and distances in Å follow each position.
Space group I-42d (No. 122)
Unique sites:
Na 0.0000 0.0000 0.0000 [4 per cell]  8 Pt 3.51-3.80, 4 Te 3.72
Te 0.0000 0.0000 0.5000 [4 per cell]  4 Pt 2.55
Pt 0.0380 0.2500 0.6250 [8 per cell]  2 Te 2.55, 2 Pt 2.66

Values from the calculation:
raw formation energy	-0.16	eV per atom
final energy	-4.30	eV per atom